[1]
A relaxed Pm2MgZn3Pd4 crystal. Source: Alexandria, functional GGA-PBE.

As for the total energy: -4.187 eV/atom. The calculation puts the energy of formation at -0.62 eV/atom.

The space group is P-4m2 (No. 115) and the conventional cell measures 4.178, 4.178 and 11.149 Å, with angles of 90.00, 90.00 and 90.00 degrees. Symmetry generates all atoms from Pm at (0.000, 0.500, 0.236), Mg at (0.000, 0.000, 0.500), Zn at (0.000, 0.500, 0.870), Zn at (0.500, 0.500, 0.500), Pd at (0.000, 0.000, 0.000), Pd at (0.000, 0.500, 0.645) and Pd at (0.500, 0.500, 0.000).

***

[2]
A relaxed PrMg4Pd crystal. Source: Alexandria, functional GGA-PBE.

As for the total energy: -3.079 eV/atom. The calculation puts the energy of formation at -0.35 eV/atom.

The space group is Pmma (No. 51) and the conventional cell measures 8.856, 4.189 and 7.593 Å, with angles of 90.00, 90.00 and 90.00 degrees. Symmetry generates all atoms from Pr at (0.250, 0.000, 0.102), Mg at (0.000, 0.000, 0.500), Mg at (0.061, 0.500, 0.804), Mg at (0.250, 0.500, 0.453) and Pd at (0.250, 0.000, 0.701).

***

[3]
A relaxed Pr3Mg4Pd4 crystal. Source: Alexandria, functional GGA-PBE.

As for the total energy: -4.397 eV/atom. The calculation puts the energy of formation at -0.63 eV/atom.

The space group is Immm (No. 71) and the conventional cell measures 4.165, 8.049 and 14.874 Å, with angles of 90.00, 90.00 and 90.00 degrees. Symmetry generates all atoms from Pr at (0.000, 0.000, 0.000), Pr at (0.000, 0.500, 0.118), Mg at (0.000, 0.308, 0.326), Pd at (0.000, 0.000, 0.226) and Pd at (0.000, 0.193, 0.500).

***

[4]
A relaxed PrMgPd3 crystal. Source: Alexandria, functional GGA-PBE.

As for the total energy: -4.958 eV/atom. The calculation puts the energy of formation at -0.57 eV/atom.

The space group is Pnma (No. 62) and the conventional cell measures 7.896, 7.683 and 7.042 Å, with angles of 90.00, 90.00 and 90.00 degrees. Symmetry generates all atoms from Pr at (0.083, 0.250, 0.007), Mg at (0.000, 0.000, 0.500), Pd at (0.215, 0.564, 0.796) and Pd at (0.228, 0.250, 0.622).

***

[5]
A relaxed Pr3MgPd crystal. Source: Alexandria, functional GGA-PBE.

As for the total energy: -4.525 eV/atom. The calculation puts the energy of formation at -0.30 eV/atom.

The space group is C2/m (No. 12) and the conventional cell measures 9.920, 6.930 and 9.922 Å, with angles of 90.00, 119.92 and 90.00 degrees. Symmetry generates all atoms from Pr at (0.084, 0.000, 0.288), Pr at (0.203, 0.500, 0.906), Pr at (0.204, 0.500, 0.291), Mg at (0.000, 0.300, 0.500) and Pd at (0.000, 0.253, 0.000).

***

[6]
A relaxed PrMg3Pd crystal. Source: Alexandria, functional GGA-PBE.

As for the total energy: -3.221 eV/atom. The calculation puts the energy of formation at -0.27 eV/atom.

The space group is Pm-3m (No. 221) and the conventional cell measures 5.003, 5.003 and 5.003 Å, with angles of 90.00, 90.00 and 90.00 degrees. Symmetry generates all atoms from Pr at (0.000, 0.000, 0.000), Mg at (0.000, 0.500, 0.500) and Pd at (0.500, 0.500, 0.500).

***

[7]
A relaxed PrMg5Pd2 crystal. Source: Alexandria, functional GGA-PBE.

As for the total energy: -3.342 eV/atom. The calculation puts the energy of formation at -0.45 eV/atom.

The space group is Immm (No. 71) and the conventional cell measures 4.172, 8.324 and 10.170 Å, with angles of 90.00, 90.00 and 90.00 degrees. Symmetry generates all atoms from Pr at (0.000, 0.000, 0.000), Mg at (0.000, 0.186, 0.341), Mg at (0.000, 0.500, 0.000) and Pd at (0.000, 0.500, 0.267).

***

[8]
A relaxed PrMgPd crystal. Source: Alexandria, functional GGA-PBE.

As for the total energy: -4.501 eV/atom. The calculation puts the energy of formation at -0.65 eV/atom.

The space group is P-62m (No. 189) and the conventional cell measures 7.7183, 7.7183 and 4.1181 Å, with angles of 90.00, 90.00 and 120.00 degrees. Symmetry generates all atoms from Pr at (0.0000, 0.4153, 0.0000), Mg at (0.0000, 0.7614, 0.5000), Pd at (0.0000, 0.0000, 0.0000) and Pd at (0.3333, 0.6667, 0.5000).